1.
Below is CePrCd after structural relaxation, with properties calculated at the GGA-PBE level.

Geometry as POSCAR:
```
CePrCd
1.0
-3.174 1.715 0.754
-0.766 -2.541 2.557
5.095 4.152 2.996
Cd Ce Pr
1 1 1
Direct
0.668 0.668 0.335 Cd
0.322 0.322 0.644 Ce
0.011 0.011 0.021 Pr
```

Calculated density in g/cm³: 7.140
Space group: I4mm (107)
Formation energy in eV per atom: -0.08
Total moment in μB per formula unit: 1.1
Relative energy among the computed polymorphs in meV per atom: 44

2.
Below is CePr3Cd8 after structural relaxation, with properties calculated at the GGA-PBE level.

Geometry as POSCAR:
```
CePr3Cd8
1.0
-3.426 3.345 3.655
-3.305 -2.645 4.286
5.236 1.045 8.915
Cd Pr Ce
8 3 1
Direct
0.437 0.938 0.188 Cd
0.687 0.687 0.938 Cd
0.938 0.437 0.687 Cd
0.938 0.437 0.188 Cd
0.938 0.938 0.687 Cd
0.188 0.188 0.437 Cd
0.437 0.437 0.188 Cd
0.437 0.938 0.687 Cd
0.375 0.375 0.874 Pr
0.999 0.999 0.004 Pr
0.501 0.501 0.497 Pr
0.875 0.875 0.375 Ce
```

Calculated density in g/cm³: 7.889
Space group: R3m (160)
Formation energy in eV per atom: -0.28
Total moment in μB per formula unit: 1.1

3.
Below is CePr3Cd2 after structural relaxation, with properties calculated at the GGA-PBE level.

Geometry as POSCAR:
```
CePr3Cd2
1.0
3.713 0.000 0.000
0.000 3.713 0.000
0.000 0.000 13.033
Pr Cd Ce
3 2 1
Direct
0.000 0.000 0.000 Pr
0.000 0.000 0.679 Pr
0.000 0.000 0.321 Pr
0.500 0.500 0.162 Cd
0.500 0.500 0.838 Cd
0.500 0.500 0.500 Ce
```

Calculated density in g/cm³: 7.279
Space group: P4/mmm (123)
Formation energy in eV per atom: -0.18
Total moment in μB per formula unit: 0.4

Going through the records in order, we get N(E_F) values of 2.406 1.117 1.214 states/eV/atom.